The following is a PBE calculation of a relaxed structure of TlCdTeF, from OQMD.

Output
excess energy over the best structure of this formula in the dataset: 24 meV per atom

Cell and atoms, written as POSCAR:
```
TlCdTeF
1.0
7.066 0.000 0.000
0.000 7.525 0.000
0.000 0.000 8.060
Tl Cd Te F
4 4 4 4
Cartesian
0.825 1.157 0.563
2.708 6.368 4.593
4.358 2.606 7.497
6.240 4.919 3.467
0.585 5.139 7.499
2.948 2.386 3.469
4.118 6.148 0.561
6.480 1.377 4.591
1.355 3.034 5.747
2.178 4.490 1.717
4.888 0.728 2.313
5.711 6.797 6.343
1.286 0.662 3.323
2.247 6.862 7.353
4.819 3.100 4.737
5.780 4.424 0.707
```

---

The following is a PBE calculation of a relaxed structure of ZrTlCdF7, from OQMD.

Output
total magnetic moment: 0.0 μB/f.u.
calculated total energy: -5.3721 eV per atom

Cell and atoms, written as POSCAR:
```
ZrTlCdF7
1.0
3.377 -5.440 0.000
3.377 5.440 0.000
0.000 0.000 8.405
Zr Tl Cd F
2 2 2 14
Cartesian
3.377 3.345 6.303
3.377 -3.345 2.101
3.377 0.000 0.000
3.377 0.000 4.202
3.377 3.318 2.101
3.377 -3.318 6.303
3.377 5.372 6.303
2.015 1.479 2.101
2.177 1.598 6.303
3.377 3.233 4.294
3.377 3.233 8.313
2.015 -1.479 6.303
2.177 -1.598 2.101
4.577 1.598 6.303
4.738 1.479 2.101
3.377 -3.233 0.092
3.377 -3.233 4.111
4.577 -1.598 2.101
4.738 -1.479 6.303
3.377 -5.372 2.101
```

---

The following is a PBE calculation of a relaxed structure of TmCdF, from OQMD.

Output
total magnetic moment: 0.0 μB/f.u.
calculated total energy: -3.8924 eV per atom

Cell and atoms, written as POSCAR:
```
TmCdF
1.0
8.428 0.000 0.000
-4.214 7.299 0.000
0.000 0.000 3.281
Tm Cd F
3 3 3
Cartesian
0.000 0.000 0.000
0.000 4.866 1.640
4.214 2.433 1.640
-2.441 4.228 0.000
1.773 3.071 0.000
4.882 0.000 0.000
-0.746 1.292 1.640
1.492 0.000 1.640
3.468 6.007 1.640
```

---

The following is a PBE calculation of a relaxed structure of CdFe2, from OQMD.

Output
DFT formation energy: 7.5 eV per formula unit
total magnetic moment: 7.0 μB/f.u.

Cell and atoms, written as POSCAR:
```
CdFe2
1.0
0.000 5.858 5.858
5.858 0.000 5.858
5.858 5.858 0.000
Cd Fe
2 4
Cartesian
1.464 1.464 1.464
10.251 10.251 10.251
0.000 0.000 0.000
2.929 2.929 0.000
2.929 0.000 2.929
0.000 2.929 2.929
```

---

The following is a PBE calculation of a relaxed structure of CdGaFe, from OQMD.

Output
total magnetic moment: 3.0 μB/f.u.
calculated total energy: -3.4519 eV per atom

Cell and atoms, written as POSCAR:
```
CdGaFe
1.0
0.000 3.086 3.086
3.086 0.000 3.086
3.086 3.086 0.000
Cd Ga Fe
1 1 1
Cartesian
0.000 0.000 0.000
1.543 1.543 1.543
4.629 4.629 4.629
```

---

The following is a PBE calculation of a relaxed structure of CdGaFe2, from OQMD.

Output
total magnetic moment: 4.8 μB/f.u.
calculated total energy: -4.8929 eV per atom

Cell and atoms, written as POSCAR:
```
CdGaFe2
1.0
0.000 3.077 3.077
3.077 0.000 3.077
3.077 3.077 0.000
Cd Ga Fe
1 1 2
Cartesian
0.000 0.000 0.000
4.615 4.615 4.615
1.538 1.538 1.538
3.077 3.077 3.077
```